(1)
{"formula": "CaBr", "functional": "PBE-GGA", "state": "relaxed", "lattice_angstrom": [[-4.061, 2.241, 1.229], [-3.520, 0.522, -3.218], [-4.070, -2.497, 0.471]], "species": ["Ca", "Br"], "frac_coords": [[0.250, 0.250, 0.250], [0.000, 0.000, 0.000]], "formation_energy_uncorrected_ev_per_atom": -1.157, "total_magnetization_mub_per_fu": 0.792, "spacegroup": "F-43m, No. 216", "e_tot_ev_per_cell": -6.0}

=====

(2)
{"formula": "GaSiNiRh", "functional": "PBE-GGA", "state": "relaxed", "lattice_angstrom": [[-1.296, -2.044, -3.412], [2.716, -2.252, -2.246], [-0.224, -4.177, 0.023]], "species": ["Ni", "Si", "Rh", "Ga"], "frac_coords": [[0.500, 0.500, 0.500], [0.750, 0.750, 0.750], [0.000, 0.000, 0.000], [0.250, 0.250, 0.250]], "formation_energy_uncorrected_ev_per_atom": -0.431, "total_magnetization_mub_per_fu": 0.000, "spacegroup": "F-43m, No. 216", "e_tot_ev_per_cell": -23.3}

=====

(3)
{"formula": "NaLiCdO2", "functional": "PBE-GGA", "state": "relaxed", "lattice_angstrom": [[-1.600, 1.447, -2.664], [-4.006, -4.007, 2.435], [-1.469, 5.449, 3.842]], "species": ["Na", "Na", "Li", "Li", "Cd", "Cd", "O", "O", "O", "O"], "frac_coords": [[0.298, 0.596, 0.337], [0.702, 0.404, 0.663], [0.682, 0.363, 0.052], [0.318, 0.637, 0.948], [0.030, 0.060, 0.232], [0.970, 0.940, 0.768], [0.359, 0.718, 0.674], [0.641, 0.282, 0.326], [0.145, 0.290, 0.908], [0.855, 0.710, 0.092]], "formation_energy_uncorrected_ev_per_atom": -1.349, "total_magnetization_mub_per_fu": 0.000, "spacegroup": "C2/m, No. 12", "e_tot_ev_per_cell": -41.6}